1.
Crystalline RbSrTmCl6 at its relaxed geometry. Source: Alexandria via LeMat-Bulk, functional GGA-PBE.

Unit cell a=7.3394 b=7.3394 c=13.9520 alpha=90.00 beta=90.00 gamma=120.00
With the nearest neighbours (Å) after each atom.
Fractional positions:
Rb 0.0000 0.0000 0.0000  6 Cl 3.38
Rb 0.0000 0.0000 0.5000  6 Cl 3.38
Sr 0.3333 0.6667 0.2500  6 Cl 2.91
Sr 0.6667 0.3333 0.7500  6 Cl 2.91
Tm 0.6667 0.3333 0.2500  6 Cl 2.62
Tm 0.3333 0.6667 0.7500  6 Cl 2.62
Cl 0.6433 0.6134 0.1420  1 Tm 2.62, 1 Sr 2.91
Cl 0.9702 0.3567 0.1420  1 Tm 2.62, 1 Sr 2.91
Cl 0.3567 0.9702 0.6420  1 Tm 2.62, 1 Sr 2.91
Cl 0.0298 0.6433 0.8580  1 Tm 2.62, 1 Sr 2.91
Cl 0.3866 0.3567 0.3580  1 Tm 2.62, 1 Sr 2.91
Cl 0.9702 0.6134 0.3580  1 Tm 2.62, 1 Sr 2.91
Cl 0.6134 0.9702 0.8580  1 Tm 2.62, 1 Sr 2.91
Cl 0.6433 0.0298 0.3580  1 Tm 2.62, 1 Sr 2.91
Cl 0.0298 0.3866 0.6420  1 Tm 2.62, 1 Sr 2.91
Cl 0.3866 0.0298 0.1420  1 Tm 2.62, 1 Sr 2.91
Cl 0.6134 0.6433 0.6420  1 Tm 2.62, 1 Sr 2.91
Cl 0.3567 0.3866 0.8580  1 Tm 2.62, 1 Sr 2.91

## Properties
**Calculated volume**: 325 Å³/f.u.
**N(E_F)**: 0.00 states/eV/f.u.
**Uncorrected formation energy**: -2313.4 meV per atom
**Crystal system**: trigonal

---

2.
Crystalline Ba2CoTe at its relaxed geometry. Source: Alexandria via LeMat-Bulk, functional GGA-PBE.

Unit cell a=4.0356 b=4.0356 c=9.4236 alpha=90.00 beta=90.00 gamma=90.04
With the nearest neighbours (Å) after each atom.
Fractional positions:
Ba 0.0000 0.0000 0.8994  1 Co 3.04
Ba 0.5000 0.5000 0.3404  1 Te 3.23, 4 Co 3.62
Co 0.0000 0.0000 0.5765  4 Te 3.03, 1 Ba 3.04
Te 0.5000 0.5000 0.6837  4 Co 3.03, 1 Ba 3.23

## Properties
**Calculated volume**: 153 Å³/f.u.
**N(E_F)**: 6.93 states/eV/f.u.
**Uncorrected formation energy**: -23.5 meV per atom
**Crystal system**: tetragonal

---

3.
Crystalline TbCeIn2 at its relaxed geometry. Source: Alexandria via LeMat-Bulk, functional GGA-PBE.

Unit cell a=3.5264 b=5.6855 c=5.6855 alpha=106.26 beta=90.00 gamma=90.00
With the nearest neighbours (Å) after each atom.
Fractional positions:
Tb 0.5000 0.5000 0.5000  8 In 3.35, 2 Ce 3.41, 2 Tb 3.53
Ce 0.5000 0.0000 0.0000  8 In 3.35, 2 Tb 3.41, 2 Ce 3.53
In 0.0000 0.0000 0.5000  4 Tb 3.35, 4 Ce 3.35, 4 In 3.41-3.53
In 0.0000 0.5000 0.0000  4 Ce 3.35, 4 Tb 3.35, 4 In 3.41-3.53

## Properties
**Calculated formation energy**: -0.406 eV/atom
**Calculated volume**: 109 Å³/f.u.
**N(E_F)**: 6.89 states/eV/f.u.
**Crystal system**: orthorhombic

---

4.
Crystalline MnSiSnIrS at its relaxed geometry. Source: Alexandria via LeMat-Bulk, functional GGA-PBE.

Unit cell a=5.9149 b=2.9122 c=6.0515 alpha=90.00 beta=117.14 gamma=90.00
With the nearest neighbours (Å) after each atom.
Fractional positions:
S 0.7924 0.0000 0.1632  2 Mn 2.20, 1 Ir 2.37
Ir 0.9517 0.0000 0.8685  2 Si 2.34, 1 S 2.37
Si 0.1124 0.5000 0.6713  1 Mn 2.28, 2 Ir 2.34
Sn 0.5170 0.0000 0.4588  2 Mn 2.61, 1 Ir 2.63, 2 Sn 2.91, 1 S 2.92
Mn 0.1058 0.5000 0.2921  2 S 2.20, 1 Si 2.28

## Properties
**Distance to the lowest polymorph of the same formula**: 213 meV per atom
**Calculated volume**: 93 Å³/f.u.
**N(E_F)**: 1.37 states/eV/f.u.
**Uncorrected formation energy**: -146.1 meV per atom
**Crystal system**: monoclinic

---

5.
Crystalline AcLaErSn at its relaxed geometry. Source: Alexandria via LeMat-Bulk, functional GGA-PBE.

Unit cell a=5.6507 b=5.6507 c=5.6507 alpha=60.00 beta=60.00 gamma=60.00
With the nearest neighbours (Å) after each atom.
Fractional positions:
Ac 0.7500 0.7500 0.7500  4 Er 3.46, 4 La 3.46
La 0.5000 0.5000 0.5000  4 Sn 3.46, 4 Ac 3.46
Sn 0.2500 0.2500 0.2500  4 Er 3.46, 4 La 3.46
Er 0.0000 0.0000 0.0000  4 Ac 3.46, 4 Sn 3.46

## Properties
**Calculated formation energy**: -0.187 eV/atom
**Calculated volume**: 128 Å³/f.u.
**N(E_F)**: 6.55 states/eV/f.u.
**Crystal system**: cubic

---

6.
Crystalline Be2SiO at its relaxed geometry. Source: Alexandria via LeMat-Bulk, functional GGA-PBE.

Unit cell a=4.7434 b=4.7434 c=5.1728 alpha=62.71 beta=62.71 gamma=90.00
With the nearest neighbours (Å) after each atom.
Fractional positions:
Be 0.5089 0.1250 0.2500  2 O 1.67
Be 0.2411 0.6250 0.2500  2 O 1.67
Be 0.3750 0.4911 0.7500  2 O 1.67
Be 0.8750 0.7589 0.7500  2 O 1.67
Si 0.0000 0.0000 0.0000  4 Be 2.32
Si 0.7500 0.2500 0.5000  4 Be 2.32
O 0.5000 0.5000 0.0000  4 Be 1.67
O 0.2500 0.7500 0.5000  4 Be 1.67

## Properties
**Distance to the lowest polymorph of the same formula**: 0 meV per atom
**Calculated volume**: 44 Å³/f.u.
**N(E_F)**: 1.00 states/eV/f.u.
**Uncorrected formation energy**: -758.8 meV per atom
**Crystal system**: tetragonal

---

7.
Crystalline MgGe2Bi2Pd7 at its relaxed geometry. Source: Alexandria via LeMat-Bulk, functional GGA-PBE.

Unit cell a=4.0322 b=4.0322 c=14.4028 alpha=78.87 beta=78.87 gamma=89.34
With the nearest neighbours (Å) after each atom.
Fractional positions:
Mg 0.0000 0.0000 0.0000  12 Pd 2.82-2.87
Ge 0.6691 0.6691 0.7514  5 Pd 2.49-2.52
Ge 0.3309 0.3309 0.2486  5 Pd 2.49-2.52
Bi 0.7475 0.7475 0.3766  5 Pd 2.82-3.05
Bi 0.2525 0.2525 0.6234  5 Pd 2.82-3.05
Pd 0.5000 0.5000 0.0000  8 Pd 2.83, 4 Mg 2.83-2.87
Pd 0.2270 0.2270 0.4304  1 Ge 2.52, 1 Pd 2.82, 1 Bi 2.82
Pd 0.7730 0.7730 0.5696  1 Ge 2.52, 1 Pd 2.82, 1 Bi 2.82
Pd 0.9020 0.4009 0.1431  2 Ge 2.49
Pd 0.4009 0.9020 0.1431  2 Ge 2.49
Pd 0.5991 0.0980 0.8569  2 Ge 2.49
Pd 0.0980 0.5991 0.8569  2 Ge 2.49

## Properties
**Calculated formation energy**: -0.349 eV/atom
**Calculated volume**: 225 Å³/f.u.
**N(E_F)**: 5.63 states/eV/f.u.
**Crystal system**: monoclinic

---

8.
Crystalline Te5As at its relaxed geometry. Source: Alexandria via LeMat-Bulk, functional GGA-PBE.

Unit cell a=7.4893 b=7.4893 c=6.0912 alpha=90.00 beta=90.00 gamma=146.99
With the nearest neighbours (Å) after each atom.
Fractional positions:
As 0.0555 0.9445 0.0000  6 Te 2.97-3.05
Te 0.7239 0.2761 0.5000  6 Te 3.06-3.22
Te 0.7003 0.2997 0.0000  2 As 2.97, 2 Te 3.06
Te 0.3876 0.6124 0.5000  6 Te 3.06-3.22
Te 0.4106 0.5894 0.0000  2 As 2.98, 2 Te 3.06
Te 0.0555 0.9445 0.5000  2 As 3.05, 4 Te 3.22

## Properties
**Distance to the lowest polymorph of the same formula**: 0 meV per atom
**Calculated volume**: 186 Å³/f.u.
**N(E_F)**: 3.91 states/eV/f.u.
**Uncorrected formation energy**: 48.0 meV per atom
**Crystal system**: orthorhombic

---

9.
Crystalline RbBe3Cl at its relaxed geometry. Source: Alexandria via LeMat-Bulk, functional GGA-PBE.

Unit cell a=6.5677 b=6.5677 c=6.5677 alpha=90.00 beta=90.00 gamma=90.00
With the nearest neighbours (Å) after each atom.
Fractional positions:
Be 0.0000 0.5000 0.0000  2 Rb 3.28
Be 0.0000 0.0000 0.5000  2 Rb 3.28
Be 0.5000 0.0000 0.0000  2 Rb 3.28
Rb 0.0000 0.0000 0.0000  6 Be 3.28
Cl 0.5000 0.5000 0.5000  12 Be 4.64

## Properties
**Distance to the lowest polymorph of the same formula**: 440 meV per atom
**Calculated volume**: 283 Å³/f.u.
**N(E_F)**: 0.00 states/eV/f.u.
**Uncorrected formation energy**: 1882.5 meV per atom
**Crystal system**: cubic

---

10.
Crystalline YMgAg2 at its relaxed geometry. Source: Alexandria via LeMat-Bulk, functional GGA-PBE.

Unit cell a=3.5261 b=3.7066 c=6.7519 alpha=90.00 beta=90.00 gamma=90.00
With the nearest neighbours (Å) after each atom.
Fractional positions:
Ag 0.0000 0.0000 0.0219  1 Mg 2.88, 4 Ag 3.01, 4 Y 3.06
Ag 0.5000 0.5000 0.2557  4 Mg 2.87, 4 Ag 3.01
Mg 0.0000 0.0000 0.4479  5 Ag 2.87-2.88
Y 0.5000 0.5000 0.7745  5 Ag 3.06-3.25, 4 Mg 3.38

## Properties
**Calculated formation energy**: -0.173 eV/atom
**Calculated volume**: 88 Å³/f.u.
**N(E_F)**: 2.56 states/eV/f.u.
**Crystal system**: orthorhombic

---

11.
Crystalline CsHg5 at its relaxed geometry. Source: Alexandria via LeMat-Bulk, functional GGA-PBE.

Unit cell a=5.0447 b=5.9802 c=7.6677 alpha=112.95 beta=90.00 gamma=90.00
With the nearest neighbours (Å) after each atom.
Fractional positions:
Cs 0.0000 0.0000 0.0000  12 Hg 3.77-3.91
Hg 0.0000 0.6623 0.3246  4 Hg 3.16-3.41
Hg 0.0000 0.3377 0.6754  4 Hg 3.16-3.41
Hg 0.5000 0.5000 0.0000  4 Hg 3.41
Hg 0.5000 0.2035 0.4070  4 Hg 3.16-3.27
Hg 0.5000 0.7965 0.5930  4 Hg 3.16-3.27

## Properties
**Calculated formation energy**: -0.155 eV/atom
**Distance to the lowest polymorph of the same formula**: 31 meV per atom
**Calculated volume**: 213 Å³/f.u.
**N(E_F)**: 1.98 states/eV/f.u.
**Crystal system**: orthorhombic

---

12.
Crystalline CoSbPb2 at its relaxed geometry. Source: Alexandria via LeMat-Bulk, functional GGA-PBE.

Unit cell a=9.7325 b=9.7325 c=9.7325 alpha=20.39 beta=20.39 gamma=20.39
With the nearest neighbours (Å) after each atom.
Fractional positions:
Co 0.7500 0.7500 0.7500  6 Pb 2.74
Pb 0.0173 0.0173 0.0173  3 Co 2.74
Pb 0.4827 0.4827 0.4827  3 Co 2.74
Sb 0.2500 0.2500 0.2500  6 Sb 3.45, 6 Pb 3.50

## Properties
**Distance to the lowest polymorph of the same formula**: 253 meV per atom
**Calculated volume**: 98 Å³/f.u.
**N(E_F)**: 4.47 states/eV/f.u.
**Uncorrected formation energy**: 383.5 meV per atom
**Crystal system**: trigonal

---

13.
Crystalline TbCePm2Y6 at its relaxed geometry. Source: Alexandria via LeMat-Bulk, functional GGA-PBE.

Unit cell a=9.0768 b=6.7523 c=6.6758 alpha=120.38 beta=105.79 gamma=90.00
With the nearest neighbours (Å) after each atom.
Fractional positions:
Tb 0.5000 0.0000 0.0000  4 Y 3.28, 2 Pm 3.42
Ce 0.0000 0.5000 0.0000  6 Y 3.52-3.64, 4 Pm 3.73
Pm 0.1742 0.0882 0.1763  1 Pm 3.17, 4 Y 3.21-3.48, 1 Tb 3.42
Pm 0.8258 0.9118 0.8237  1 Pm 3.17, 4 Y 3.21-3.48, 1 Tb 3.42
Y 0.4208 0.6323 0.2646  1 Ce 3.64, 7 Y 3.76-3.87, 3 Tb 3.86-4.07, 3 Pm 3.99-4.05
Y 0.1961 0.0703 0.6553  2 Pm 3.21-3.48, 3 Y 3.28-3.47, 1 Tb 3.28, 1 Ce 3.52
Y 0.8039 0.4150 0.3447  2 Pm 3.21-3.48, 3 Y 3.28-3.47, 1 Tb 3.28, 1 Ce 3.52
Y 0.1961 0.5850 0.6553  2 Pm 3.21-3.48, 3 Y 3.28-3.47, 1 Tb 3.28, 1 Ce 3.52
Y 0.8039 0.9297 0.3447  2 Pm 3.21-3.48, 3 Y 3.28-3.47, 1 Tb 3.28, 1 Ce 3.52
Y 0.5792 0.3677 0.7354  1 Ce 3.64, 7 Y 3.76-3.87, 3 Tb 3.86-4.07, 3 Pm 3.99-4.05

## Properties
**Calculated formation energy**: 0.237 eV/atom
**Calculated volume**: 335 Å³/f.u.
**N(E_F)**: 20.99 states/eV/f.u.
**Crystal system**: monoclinic

---

14.
Crystalline Zr2AgAs2 at its relaxed geometry. Source: Alexandria via LeMat-Bulk, functional GGA-PBE.

Unit cell a=7.4182 b=7.4182 c=3.5412 alpha=90.00 beta=90.00 gamma=90.00
With the nearest neighbours (Å) after each atom.
Fractional positions:
As 0.3525 0.8525 0.0000  6 Zr 2.77-2.83, 2 Ag 2.83, 1 As 3.09
As 0.8525 0.6475 0.0000  6 Zr 2.77-2.83, 2 Ag 2.83, 1 As 3.09
As 0.6475 0.1475 0.0000  6 Zr 2.77-2.83, 2 Ag 2.83, 1 As 3.09
As 0.1475 0.3525 0.0000  6 Zr 2.77-2.83, 2 Ag 2.83, 1 As 3.09
Zr 0.1499 0.6499 0.5000  6 As 2.77-2.83
Zr 0.6499 0.8501 0.5000  6 As 2.77-2.83
Zr 0.8501 0.3501 0.5000  6 As 2.77-2.83
Zr 0.3501 0.1499 0.5000  6 As 2.77-2.83
Ag 0.0000 0.0000 0.0000  4 As 2.83
Ag 0.5000 0.5000 0.0000  4 As 2.83

## Properties
**Calculated formation energy**: -0.716 eV/atom
**Distance to the lowest polymorph of the same formula**: 0 meV per atom
**Calculated volume**: 97 Å³/f.u.
**N(E_F)**: 2.54 states/eV/f.u.
**Crystal system**: tetragonal

---

15.
Crystalline AlRuRh3 at its relaxed geometry. Source: Alexandria via LeMat-Bulk, functional GGA-PBE.

Unit cell a=4.4068 b=4.4068 c=4.4068 alpha=90.00 beta=90.00 gamma=90.00
With the nearest neighbours (Å) after each atom.
Fractional positions:
Ru 0.5000 0.5000 0.5000  12 Rh 3.12
Rh 0.0000 0.5000 0.0000  2 Al 2.20
Rh 0.0000 0.0000 0.5000  2 Al 2.20
Rh 0.5000 0.0000 0.0000  2 Al 2.20
Al 0.0000 0.0000 0.0000  6 Rh 2.20

## Properties
**Calculated formation energy**: 0.884 eV/atom
**Distance to the lowest polymorph of the same formula**: 0 meV per atom
**Calculated volume**: 86 Å³/f.u.
**N(E_F)**: 5.91 states/eV/f.u.
**Crystal system**: cubic

---

16.
Crystalline SmTm2Hf at its relaxed geometry. Source: Alexandria via LeMat-Bulk, functional GGA-PBE.

Unit cell a=4.8408 b=4.8264 c=4.8264 alpha=90.00 beta=90.00 gamma=90.00
With the nearest neighbours (Å) after each atom.
Fractional positions:
Tm 0.0000 0.0000 0.5000  4 Tm 3.41, 4 Sm 3.42, 4 Hf 3.42
Tm 0.0000 0.5000 0.0000  4 Tm 3.41, 4 Hf 3.42, 4 Sm 3.42
Hf 0.5000 0.0000 0.0000  4 Sm 3.41, 8 Tm 3.42
Sm 0.5000 0.5000 0.5000  4 Hf 3.41, 8 Tm 3.42

## Properties
**Calculated formation energy**: 0.144 eV/atom
**Distance to the lowest polymorph of the same formula**: 44 meV per atom
**Calculated volume**: 113 Å³/f.u.
**N(E_F)**: 5.73 states/eV/f.u.
**Crystal system**: tetragonal

---

17.
Crystalline CeTlTcO6 at its relaxed geometry. Source: Alexandria via LeMat-Bulk, functional GGA-PBE.

Unit cell a=5.6534 b=5.6534 c=5.7435 alpha=90.00 beta=90.00 gamma=60.00
With the nearest neighbours (Å) after each atom.
Fractional positions:
Ce 0.6666 0.6667 0.4995  6 O 2.23-2.24
Tl 0.9999 0.0000 0.0001  6 O 2.82
Tc 0.3333 0.3333 0.5003  6 O 1.91
O 0.0424 0.3637 0.3099  1 Tc 1.91
O 0.3638 0.0423 0.6901  1 Tc 1.91
O 0.5939 0.3638 0.6901  1 Tc 1.91
O 0.0422 0.5940 0.6901  1 Tc 1.91
O 0.3637 0.5939 0.3099  1 Tc 1.91
O 0.5939 0.0423 0.3099  1 Tc 1.91

## Properties
**Calculated volume**: 159 Å³/f.u.
**Uncorrected formation energy**: -1813.1 meV per atom
**Crystal system**: trigonal

---

18.
Crystalline PrEuPb2 at its relaxed geometry. Source: Alexandria via LeMat-Bulk, functional GGA-PBE.

Unit cell a=3.9171 b=3.9171 c=10.3542 alpha=79.10 beta=79.10 gamma=60.00
With the nearest neighbours (Å) after each atom.
Fractional positions:
Pb 0.2502 0.2502 0.2496  3 Pr 3.39, 3 Eu 3.39
Pb 0.7498 0.7498 0.7504  3 Pr 3.39, 3 Eu 3.39
Eu 0.5000 0.5000 0.5000  6 Pb 3.39
Pr 0.0000 0.0000 0.0000  6 Pb 3.39

## Properties
**Calculated formation energy**: -0.382 eV/atom
**Calculated volume**: 134 Å³/f.u.
**N(E_F)**: 8.81 states/eV/f.u.
**Crystal system**: trigonal

---

19.
Crystalline Sr2Mg2Ir at its relaxed geometry. Source: Alexandria via LeMat-Bulk, functional GGA-PBE.

Unit cell a=7.1641 b=7.1641 c=5.4907 alpha=90.00 beta=90.00 gamma=90.00
With the nearest neighbours (Å) after each atom.
Fractional positions:
Sr 0.1835 0.6835 0.5000  2 Mg 3.20
Sr 0.6835 0.8165 0.5000  2 Mg 3.20
Sr 0.8165 0.3165 0.5000  2 Mg 3.20
Sr 0.3165 0.1835 0.5000  2 Mg 3.20
Mg 0.3460 0.8460 0.0000  2 Ir 2.71
Mg 0.8460 0.6540 0.0000  2 Ir 2.71
Mg 0.6540 0.1540 0.0000  2 Ir 2.71
Mg 0.1540 0.3460 0.0000  2 Ir 2.71
Ir 0.0000 0.0000 0.0000  4 Mg 2.71
Ir 0.5000 0.5000 0.0000  4 Mg 2.71

## Properties
**Calculated formation energy**: 0.067 eV/atom
**Calculated volume**: 141 Å³/f.u.
**N(E_F)**: 4.49 states/eV/f.u.
**Crystal system**: tetragonal

---

20.
Crystalline Dy2Cu5Ge3 at its relaxed geometry. Source: Alexandria via LeMat-Bulk, functional GGA-PBE.

Unit cell a=4.1026 b=4.1026 c=10.3615 alpha=90.00 beta=90.00 gamma=90.00
With the nearest neighbours (Å) after each atom.
Fractional positions:
Dy 0.5000 0.0000 0.2264  8 Cu 3.09-3.12, 4 Ge 3.16
Dy 0.0000 0.5000 0.7736  8 Cu 3.09-3.12, 4 Ge 3.16
Cu 0.5000 0.5000 0.0000  4 Cu 2.42
Cu 0.0000 0.0000 0.0000  4 Cu 2.42
Cu 0.5000 0.0000 0.8756  1 Ge 2.32, 4 Cu 2.42
Cu 0.0000 0.5000 0.1244  1 Ge 2.32, 4 Cu 2.42
Cu 0.5000 0.5000 0.5000  4 Ge 2.59
Ge 0.5000 0.0000 0.6521  3 Cu 2.32-2.59, 2 Ge 2.59
Ge 0.0000 0.5000 0.3479  3 Cu 2.32-2.59, 2 Ge 2.59
Ge 0.0000 0.0000 0.5000  4 Ge 2.59

## Properties
**Calculated formation energy**: -0.222 eV/atom
**Calculated volume**: 174 Å³/f.u.
**N(E_F)**: 4.08 states/eV/f.u.
**Crystal system**: tetragonal